Entry from Alexandria: a relaxed NiHF4 crystal (GGA+U).

Cell and atoms, written as POSCAR:
```
NiHF4
1.0
5.5047 0.0000 0.0000
0.0000 5.0266 0.0000
0.0000 0.0000 4.5091
Ni H F
2 2 8
direct
0.0000 0.0094 0.0000
0.5000 0.9906 0.5000
0.0000 0.7282 0.5423
0.5000 0.2718 0.0423
0.0000 0.2954 0.2188
0.0000 0.6937 0.7561
0.2348 0.8410 0.2669
0.2652 0.1590 0.7669
0.5000 0.3063 0.2561
0.5000 0.7046 0.7188
0.7348 0.1590 0.7669
0.7652 0.8410 0.2669
```

Values from the calculation:
Space-group type: Pmn2_1 (31)
Total moment: 2.0 μB per cell
Volume: 10.4 A^3/atom
E above lowest polymorph: 0.64 eV per formula unit